! PBE-GGA Ba2HgSb, optimized geometry; values from VASP
! * formation energy from raw total energies: 0.19 eV per atom
! * space group: Immm
&SYSTEM
  ibrav = 0, nat = 4, ntyp = 3
/
ATOMIC_SPECIES
Ba 137.33 Ba.upf
Hg 200.59 Hg.upf
Sb 121.76 Sb.upf
ATOMIC_POSITIONS crystal
Ba 0.242 0.242 0.000
Ba 0.758 0.758 0.000
Hg 0.000 0.000 0.000
Sb 0.500 0.500 0.000
CELL_PARAMETERS angstrom
-2.552 2.863 6.575
2.552 -2.863 6.575
2.552 2.863 -6.575



! PBE-GGA Nb3CdSb, optimized geometry; values from VASP
! * formation energy from raw total energies: 1.68 eV per atom
! * space group: Pm-3m
&SYSTEM
  ibrav = 0, nat = 5, ntyp = 3
/
ATOMIC_SPECIES
Nb 92.91 Nb.upf
Cd 112.41 Cd.upf
Sb 121.76 Sb.upf
ATOMIC_POSITIONS crystal
Nb 0.000 0.000 0.500
Nb 0.000 0.500 0.000
Nb 0.500 0.000 0.000
Cd 0.000 0.000 0.000
Sb 0.500 0.500 0.500
CELL_PARAMETERS angstrom
5.005 0.000 0.000
0.000 5.005 0.000
0.000 0.000 5.005



Number 1: energy above the most stable polymorph in this dataset 0.992 eV per atom, DOS at the Fermi energy 1.07 states/eV/atom. Number 2: energy above the most stable polymorph in this dataset 0.322 eV per atom, DOS at the Fermi energy 2.55 states/eV/atom.